Record 1
Tl2CoRu: optimized geometry, PBE-GGA.

Cell and atoms, written as CIF:
```
data_Tl2CoRu
_chemical_formula_sum 'Tl6 Co3 Ru3'
_cell_length_a 3.2855
_cell_length_b 3.2855
_cell_length_c 26.4587
_cell_angle_alpha 90.00
_cell_angle_beta 90.00
_cell_angle_gamma 120.00
_symmetry_space_group_name_H-M 'R 3 m'
_symmetry_Int_Tables_number 160
_symmetry_space_group_name_Hall 'R 3 -2"'
loop_
_atom_site_label
_atom_site_type_symbol
_atom_site_fract_x
_atom_site_fract_y
_atom_site_fract_z
Tl1 Tl 0.0000 0.0000 0.0000
Tl2 Tl 0.0000 0.0000 0.2259
Co1 Co 0.0000 0.0000 0.7504
Ru1 Ru 0.0000 0.0000 0.4730
```

Summary:
The energy above the most stable polymorph in this dataset is 154 meV per atom. Its formation energy from the elements is 59.65 kJ/mol of atoms.



Record 2
AsRh2W: optimized geometry, PBE-GGA.

Cell and atoms, written as CIF:
```
data_AsRh2W
_chemical_formula_sum 'As3 Rh6 W3'
_cell_length_a 2.8696
_cell_length_b 2.8696
_cell_length_c 25.5010
_cell_angle_alpha 90.00
_cell_angle_beta 90.00
_cell_angle_gamma 120.00
_symmetry_space_group_name_H-M 'R 3 m'
_symmetry_Int_Tables_number 160
_symmetry_space_group_name_Hall 'R 3 -2"'
loop_
_atom_site_label
_atom_site_type_symbol
_atom_site_fract_x
_atom_site_fract_y
_atom_site_fract_z
As1 As 0.0000 0.0000 0.0000
Rh1 Rh 0.0000 0.0000 0.4990
Rh2 Rh 0.0000 0.0000 0.7418
W1 W 0.0000 0.0000 0.2472
```

Summary:
Its formation energy from the elements is 4.14 kJ/mol of atoms.



Record 3
Ho3VAg3Se8: optimized geometry, PBE-GGA.

Cell and atoms, written as CIF:
```
data_Ho3VAg3Se8
_chemical_formula_sum 'Ho6 V2 Ag6 Se16'
_cell_length_a 13.9420
_cell_length_b 8.0488
_cell_length_c 8.1419
_cell_angle_alpha 90.00
_cell_angle_beta 125.03
_cell_angle_gamma 90.00
_symmetry_space_group_name_H-M 'C 1 2/m 1'
_symmetry_Int_Tables_number 12
loop_
_symmetry_equiv_pos_as_xyz
'x,y,z'
'-x,-y,-z'
'-x,y,-z'
'x,-y,z'
'x+1/2,y+1/2,z'
'-x+1/2,-y+1/2,-z'
'-x+1/2,y+1/2,-z'
'x+1/2,-y+1/2,z'
loop_
_atom_site_label
_atom_site_type_symbol
_atom_site_fract_x
_atom_site_fract_y
_atom_site_fract_z
Ho1 Ho 0.0000 0.0000 0.0000
Ho2 Ho 0.2500 0.2500 0.0000
V1 V 0.0000 0.5000 0.0000
Ag1 Ag 0.0000 0.5000 0.5000
Ag2 Ag 0.2500 0.2500 0.5000
Se1 Se 0.9996 0.2716 0.2261
Se2 Se 0.2280 0.5000 0.2260
Se3 Se 0.2493 0.0000 0.2467
```

Summary:
The value obtained for the raw formation energy is -15.01 eV/f.u.